! La2Sn2HgRh5, relaxed, DFT PBE; values from VASP
&SYSTEM
  ibrav = 0, nat = 20, ntyp = 4
/
ATOMIC_SPECIES
La 138.91 La.upf
Sn 118.71 Sn.upf
Hg 200.59 Hg.upf
Rh 102.91 Rh.upf
CELL_PARAMETERS angstrom
10.375 0.000 0.000
0.000 10.375 0.000
0.000 0.000 3.781
ATOMIC_POSITIONS crystal
La 0.174 0.326 0.000
La 0.326 0.826 0.000
La 0.674 0.174 0.000
La 0.826 0.674 0.000
Sn 0.125 0.625 0.000
Sn 0.375 0.125 0.000
Sn 0.625 0.875 0.000
Sn 0.875 0.375 0.000
Hg 0.000 0.000 0.000
Hg 0.500 0.500 0.000
Rh 0.000 0.500 0.500
Rh 0.061 0.795 0.500
Rh 0.205 0.061 0.500
Rh 0.295 0.561 0.500
Rh 0.439 0.295 0.500
Rh 0.500 0.000 0.500
Rh 0.561 0.705 0.500
Rh 0.705 0.439 0.500
Rh 0.795 0.939 0.500
Rh 0.939 0.205 0.500
! Size of the total moment (μB/atom): 0.000
! ΔE_f (meV/atom): -468
! N(E_F) (states/eV/cell): 3.9



! KBa2Cr, relaxed, DFT PBE; values from VASP
&SYSTEM
  ibrav = 0, nat = 4, ntyp = 3
/
ATOMIC_SPECIES
K 39.10 K.upf
Ba 137.33 Ba.upf
Cr 52.00 Cr.upf
CELL_PARAMETERS angstrom
0.000 4.495 4.495
4.495 0.000 4.495
4.495 4.495 0.000
ATOMIC_POSITIONS crystal
K 0.000 0.000 0.000
Ba 0.250 0.250 0.250
Ba 0.500 0.500 0.500
Cr 0.750 0.750 0.750
! Size of the total moment (μB/atom): 1.260
! ΔE_f (meV/atom): 663
! N(E_F) (states/eV/cell): 5.9
! Polymorph energy (0 for the lowest one) (kJ/mol of atoms): 21.4



! Ge4Te3S, relaxed, DFT PBE; values from VASP
&SYSTEM
  ibrav = 0, nat = 16, ntyp = 3
/
ATOMIC_SPECIES
Ge 72.64 Ge.upf
Te 127.60 Te.upf
S 32.06 S.upf
CELL_PARAMETERS angstrom
7.195 0.000 0.000
0.000 8.665 0.000
-2.488 0.000 6.802
ATOMIC_POSITIONS crystal
Ge 0.222 0.163 0.475
Ge 0.222 0.837 0.975
Ge 0.253 0.353 0.011
Ge 0.253 0.647 0.511
Ge 0.747 0.353 0.489
Ge 0.747 0.647 0.989
Ge 0.778 0.163 0.025
Ge 0.778 0.837 0.525
Te 0.000 0.122 0.750
Te 0.000 0.878 0.250
Te 0.500 0.130 0.250
Te 0.500 0.379 0.750
Te 0.500 0.621 0.250
Te 0.500 0.870 0.750
S 0.000 0.349 0.250
S 0.000 0.651 0.750
! Size of the total moment (μB/atom): 0.000
! Formation energy (no corrections) (eV per atom): -0.09



! Cs3Sm3USe8, relaxed, DFT PBE; values from VASP
&SYSTEM
  ibrav = 0, nat = 15, ntyp = 4
/
ATOMIC_SPECIES
Cs 132.91 Cs.upf
Sm 150.36 Sm.upf
U 238.03 U.upf
Se 78.96 Se.upf
CELL_PARAMETERS angstrom
7.423 -4.291 0.000
7.423 4.291 0.000
-4.951 0.000 8.541
ATOMIC_POSITIONS crystal
Cs 0.000 0.000 0.000
Cs 0.000 0.500 0.000
Cs 0.500 0.000 0.000
Sm 0.000 0.500 0.500
Sm 0.500 0.000 0.500
Sm 0.500 0.500 0.500
U 0.000 0.000 0.500
Se 0.223 0.223 0.682
Se 0.223 0.737 0.683
Se 0.263 0.777 0.317
Se 0.271 0.271 0.312
Se 0.729 0.729 0.688
Se 0.737 0.223 0.683
Se 0.777 0.263 0.317
Se 0.777 0.777 0.318
! Size of the total moment (μB/atom): 0.133
! N(E_F) (states/eV/cell): 5.7
! Formation energy (no corrections) (eV per atom): -1.63



! Y2BeGa4Cu3, relaxed, DFT PBE; values from VASP
&SYSTEM
  ibrav = 0, nat = 10, ntyp = 4
/
ATOMIC_SPECIES
Y 88.91 Y.upf
Be 9.01 Be.upf
Ga 69.72 Ga.upf
Cu 63.55 Cu.upf
CELL_PARAMETERS angstrom
4.106 0.000 0.000
0.000 4.106 0.000
0.000 0.000 10.025
ATOMIC_POSITIONS crystal
Y 0.000 0.500 0.242
Y 0.500 0.000 0.758
Be 0.500 0.500 0.000
Ga 0.000 0.000 0.500
Ga 0.000 0.500 0.874
Ga 0.500 0.000 0.126
Ga 0.500 0.500 0.500
Cu 0.000 0.000 0.000
Cu 0.000 0.500 0.637
Cu 0.500 0.000 0.363
! Size of the total moment (μB/atom): 0.000
! ΔE_f (meV/atom): -414
! N(E_F) (states/eV/cell): 5.1



! CaCI2, relaxed, DFT PBE; values from VASP
&SYSTEM
  ibrav = 0, nat = 4, ntyp = 3
/
ATOMIC_SPECIES
Ca 40.08 Ca.upf
C 12.01 C.upf
I 126.90 I.upf
CELL_PARAMETERS angstrom
0.000 3.865 3.865
3.865 0.000 3.865
3.865 3.865 0.000
ATOMIC_POSITIONS crystal
Ca 0.000 0.000 0.000
C 0.500 0.500 0.500
I 0.250 0.250 0.250
I 0.750 0.750 0.750
! Size of the total moment (μB/atom): 0.500
! N(E_F) (states/eV/cell): 6.6
! Polymorph energy (0 for the lowest one) (kJ/mol of atoms): 136.6
! Formation energy (no corrections) (eV per atom): 0.74



! CsMoAs2, relaxed, DFT PBE; values from VASP
&SYSTEM
  ibrav = 0, nat = 4, ntyp = 3
/
ATOMIC_SPECIES
Cs 132.91 Cs.upf
Mo 95.94 Mo.upf
As 74.92 As.upf
CELL_PARAMETERS angstrom
0.000 3.602 3.602
3.602 0.000 3.602
3.602 3.602 0.000
ATOMIC_POSITIONS crystal
Cs 0.000 0.000 0.000
Mo 0.500 0.500 0.500
As 0.250 0.250 0.250
As 0.750 0.750 0.750
! Size of the total moment (μB/atom): 0.535
! ΔE_f (meV/atom): 880
! N(E_F) (states/eV/cell): 2.6
! Polymorph energy (0 for the lowest one) (kJ/mol of atoms): 91.7



! Sr2YIn3, relaxed, DFT PBE; values from VASP
&SYSTEM
  ibrav = 0, nat = 12, ntyp = 3
/
ATOMIC_SPECIES
Sr 87.62 Sr.upf
Y 88.91 Y.upf
In 114.82 In.upf
CELL_PARAMETERS angstrom
2.802 -8.393 0.000
2.802 8.393 0.000
0.000 0.000 7.948
ATOMIC_POSITIONS crystal
Sr 0.000 0.000 0.000
Sr 0.000 0.000 0.500
Sr 0.337 0.663 0.000
Sr 0.663 0.337 0.000
Y 0.335 0.665 0.500
Y 0.665 0.335 0.500
In 0.173 0.827 0.271
In 0.173 0.827 0.729
In 0.500 0.500 0.270
In 0.500 0.500 0.730
In 0.827 0.173 0.271
In 0.827 0.173 0.729
! Size of the total moment (μB/atom): 0.000
! ΔE_f (meV/atom): -435
! N(E_F) (states/eV/cell): 6.7



! BePbAu2, relaxed, DFT PBE; values from VASP
&SYSTEM
  ibrav = 0, nat = 4, ntyp = 3
/
ATOMIC_SPECIES
Be 9.01 Be.upf
Pb 207.20 Pb.upf
Au 196.97 Au.upf
CELL_PARAMETERS angstrom
4.216 0.000 0.000
0.000 4.216 0.000
0.000 0.000 4.293
ATOMIC_POSITIONS crystal
Be 0.000 0.000 0.000
Pb 0.500 0.500 0.000
Au 0.000 0.500 0.500
Au 0.500 0.000 0.500
! Size of the total moment (μB/atom): 0.000
! ΔE_f (meV/atom): 342
! N(E_F) (states/eV/cell): 1.5
! Polymorph energy (0 for the lowest one) (kJ/mol of atoms): 35.3



! Mg4ScTi, relaxed, DFT PBE; values from VASP
&SYSTEM
  ibrav = 0, nat = 6, ntyp = 3
/
ATOMIC_SPECIES
Mg 24.30 Mg.upf
Sc 44.96 Sc.upf
Ti 47.87 Ti.upf
CELL_PARAMETERS angstrom
0.000 4.050 4.050
4.050 0.000 4.050
4.050 4.050 0.000
ATOMIC_POSITIONS crystal
Mg 0.125 0.125 0.125
Mg 0.125 0.125 0.626
Mg 0.125 0.626 0.125
Mg 0.626 0.125 0.125
Sc 0.500 0.500 0.500
Ti 0.750 0.750 0.750
! Size of the total moment (μB/atom): 0.496
! ΔE_f (meV/atom): 170
! N(E_F) (states/eV/cell): 7.7



! Ac8LaPm4, relaxed, DFT PBE; values from VASP
&SYSTEM
  ibrav = 0, nat = 13, ntyp = 3
/
ATOMIC_SPECIES
Ac 227.00 Ac.upf
La 138.91 La.upf
Pm 145.00 Pm.upf
CELL_PARAMETERS angstrom
6.104 -2.759 0.000
6.104 2.759 0.000
-1.209 0.000 15.860
ATOMIC_POSITIONS crystal
Ac 0.043 0.043 0.386
Ac 0.191 0.191 0.925
Ac 0.266 0.266 0.689
Ac 0.424 0.424 0.230
Ac 0.576 0.576 0.770
Ac 0.734 0.734 0.311
Ac 0.809 0.809 0.075
Ac 0.957 0.957 0.614
La 0.500 0.500 0.000
Pm 0.116 0.116 0.154
Pm 0.349 0.349 0.463
Pm 0.651 0.651 0.537
Pm 0.884 0.884 0.846
! Size of the total moment (μB/atom): 0.000
! ΔE_f (meV/atom): 37
! N(E_F) (states/eV/cell): 24.4



! TbHgPbF6, relaxed, DFT PBE; values from VASP
&SYSTEM
  ibrav = 0, nat = 18, ntyp = 4
/
ATOMIC_SPECIES
Tb 158.93 Tb.upf
Hg 200.59 Hg.upf
Pb 207.20 Pb.upf
F 19.00 F.upf
CELL_PARAMETERS angstrom
6.295 0.000 0.000
-3.148 5.452 0.000
0.000 0.000 10.323
ATOMIC_POSITIONS crystal
Tb 0.333 0.667 0.250
Tb 0.667 0.333 0.750
Hg 0.333 0.667 0.750
Hg 0.667 0.333 0.250
Pb 0.000 0.000 0.000
Pb 0.000 0.000 0.500
F 0.058 0.359 0.130
F 0.058 0.699 0.370
F 0.301 0.359 0.370
F 0.301 0.942 0.130
F 0.359 0.058 0.630
F 0.359 0.301 0.870
F 0.641 0.699 0.130
F 0.641 0.942 0.370
F 0.699 0.058 0.870
F 0.699 0.641 0.630
F 0.942 0.301 0.630
F 0.942 0.641 0.870
! Size of the total moment (μB/atom): 0.116
! N(E_F) (states/eV/cell): 3.8
! Formation energy (no corrections) (eV per atom): -2.73



! PaNbAs, relaxed, DFT PBE; values from VASP
&SYSTEM
  ibrav = 0, nat = 3, ntyp = 3
/
ATOMIC_SPECIES
Pa 231.04 Pa.upf
Nb 92.91 Nb.upf
As 74.92 As.upf
CELL_PARAMETERS angstrom
4.531 0.000 0.000
-2.266 3.924 0.000
0.000 0.000 3.586
ATOMIC_POSITIONS crystal
Pa 0.000 0.000 0.000
Nb 0.333 0.667 0.500
As 0.667 0.333 0.500
! Size of the total moment (μB/atom): 0.003
! ΔE_f (meV/atom): -277
! N(E_F) (states/eV/cell): 6.2
! Polymorph energy (0 for the lowest one) (kJ/mol of atoms): 37.2



! KY2Au, relaxed, DFT PBE; values from VASP
&SYSTEM
  ibrav = 0, nat = 4, ntyp = 3
/
ATOMIC_SPECIES
K 39.10 K.upf
Y 88.91 Y.upf
Au 196.97 Au.upf
CELL_PARAMETERS angstrom
3.364 -5.710 0.000
3.364 5.710 0.000
-1.610 0.000 3.117
ATOMIC_POSITIONS crystal
K 0.000 0.000 0.000
Y 0.000 0.500 0.500
Y 0.500 0.000 0.500
Au 0.500 0.500 0.000
! Size of the total moment (μB/atom): 0.000
! ΔE_f (meV/atom): 208
! N(E_F) (states/eV/cell): 4.2
! Polymorph energy (0 for the lowest one) (kJ/mol of atoms): 38.3



! KAcAg2Sb2, relaxed, DFT PBE; values from VASP
&SYSTEM
  ibrav = 0, nat = 6, ntyp = 4
/
ATOMIC_SPECIES
K 39.10 K.upf
Ac 227.00 Ac.upf
Ag 107.87 Ag.upf
Sb 121.76 Sb.upf
CELL_PARAMETERS angstrom
4.831 0.000 0.000
-2.416 4.184 0.000
0.000 0.000 9.296
ATOMIC_POSITIONS crystal
K 0.000 0.000 0.000
Ac 0.000 0.000 0.500
Ag 0.333 0.667 0.269
Ag 0.667 0.333 0.731
Sb 0.333 0.667 0.722
Sb 0.667 0.333 0.278
! Size of the total moment (μB/atom): 0.000
! N(E_F) (states/eV/cell): 0.8
! Formation energy (no corrections) (eV per atom): -0.61



! SmY4Tl, relaxed, DFT PBE; values from VASP
&SYSTEM
  ibrav = 0, nat = 6, ntyp = 3
/
ATOMIC_SPECIES
Sm 150.36 Sm.upf
Y 88.91 Y.upf
Tl 204.38 Tl.upf
CELL_PARAMETERS angstrom
3.626 0.000 0.000
0.000 3.626 0.000
0.000 0.000 14.253
ATOMIC_POSITIONS crystal
Sm 0.000 0.000 0.000
Y 0.000 0.000 0.354
Y 0.000 0.000 0.646
Y 0.500 0.500 0.177
Y 0.500 0.500 0.823
Tl 0.500 0.500 0.500
! Size of the total moment (μB/atom): 0.000
! ΔE_f (meV/atom): -119
! N(E_F) (states/eV/cell): 7.3
! Polymorph energy (0 for the lowest one) (kJ/mol of atoms): 0.0



! LiCeErCo, relaxed, DFT PBE; values from VASP
&SYSTEM
  ibrav = 0, nat = 4, ntyp = 4
/
ATOMIC_SPECIES
Li 6.94 Li.upf
Ce 140.12 Ce.upf
Er 167.26 Er.upf
Co 58.93 Co.upf
CELL_PARAMETERS angstrom
0.000 3.436 3.436
3.436 0.000 3.436
3.436 3.436 0.000
ATOMIC_POSITIONS crystal
Li 0.000 0.000 0.000
Ce 0.250 0.250 0.250
Er 0.750 0.750 0.750
Co 0.500 0.500 0.500
! Size of the total moment (μB/atom): 0.128
! ΔE_f (meV/atom): 5
! N(E_F) (states/eV/cell): 5.7



! ZrBMo2Pt, relaxed, DFT PBE; values from VASP
&SYSTEM
  ibrav = 0, nat = 5, ntyp = 4
/
ATOMIC_SPECIES
Zr 91.22 Zr.upf
B 10.81 B.upf
Mo 95.94 Mo.upf
Pt 195.08 Pt.upf
CELL_PARAMETERS angstrom
4.282 0.000 0.000
0.000 4.282 0.000
0.000 0.000 4.214
ATOMIC_POSITIONS crystal
Zr 0.000 0.000 0.000
B 0.500 0.500 0.500
Mo 0.000 0.500 0.500
Mo 0.500 0.000 0.500
Pt 0.500 0.500 0.000
! Size of the total moment (μB/atom): 0.000
! ΔE_f (meV/atom): -239
! N(E_F) (states/eV/cell): 5.3



! TlSn2Te6Pb3, relaxed, DFT PBE; values from VASP
&SYSTEM
  ibrav = 0, nat = 12, ntyp = 4
/
ATOMIC_SPECIES
Tl 204.38 Tl.upf
Sn 118.71 Sn.upf
Te 127.60 Te.upf
Pb 207.20 Pb.upf
CELL_PARAMETERS angstrom
10.023 -2.286 0.000
10.023 2.286 0.000
-2.026 0.000 8.939
ATOMIC_POSITIONS crystal
Tl 0.000 0.000 0.000
Sn 0.335 0.335 0.667
Sn 0.665 0.665 0.333
Te 0.169 0.169 0.579
Te 0.171 0.171 0.093
Te 0.496 0.496 0.744
Te 0.504 0.504 0.256
Te 0.829 0.829 0.907
Te 0.831 0.831 0.421
Pb 0.000 0.000 0.500
Pb 0.335 0.335 0.166
Pb 0.665 0.665 0.834
! Size of the total moment (μB/atom): 0.000
! N(E_F) (states/eV/cell): 6.6
! Formation energy (no corrections) (eV per atom): -0.32



! U2Ga2Co4B, relaxed, DFT PBE; values from VASP
&SYSTEM
  ibrav = 0, nat = 9, ntyp = 4
/
ATOMIC_SPECIES
U 238.03 U.upf
Ga 69.72 Ga.upf
Co 58.93 Co.upf
B 10.81 B.upf
CELL_PARAMETERS angstrom
-2.978 2.978 3.650
2.978 -2.978 3.650
2.978 2.978 -3.650
ATOMIC_POSITIONS crystal
U 0.250 0.750 0.500
U 0.750 0.250 0.500
Ga 0.184 0.184 0.000
Ga 0.816 0.816 0.000
Co 0.263 0.263 0.526
Co 0.263 0.737 0.000
Co 0.737 0.263 0.000
Co 0.737 0.737 0.474
B 0.500 0.500 0.000
! Size of the total moment (μB/atom): 0.121
! ΔE_f (meV/atom): -45
! N(E_F) (states/eV/cell): 13.5



! Tb4Sm6Tm, relaxed, DFT PBE; values from VASP
&SYSTEM
  ibrav = 0, nat = 22, ntyp = 3
/
ATOMIC_SPECIES
Tb 158.93 Tb.upf
Sm 150.36 Sm.upf
Tm 168.93 Tm.upf
CELL_PARAMETERS angstrom
2.920 -4.824 0.000
2.920 4.824 0.000
0.000 0.000 25.646
ATOMIC_POSITIONS crystal
Tb 0.048 0.952 0.623
Tb 0.048 0.952 0.877
Tb 0.352 0.648 0.544
Tb 0.352 0.648 0.956
Tb 0.648 0.352 0.044
Tb 0.648 0.352 0.456
Tb 0.952 0.048 0.123
Tb 0.952 0.048 0.377
Sm 0.000 0.000 0.000
Sm 0.000 0.000 0.500
Sm 0.053 0.947 0.750
Sm 0.296 0.704 0.104
Sm 0.296 0.704 0.396
Sm 0.380 0.620 0.683
Sm 0.380 0.620 0.817
Sm 0.620 0.380 0.183
Sm 0.620 0.380 0.317
Sm 0.704 0.296 0.604
Sm 0.704 0.296 0.896
Sm 0.947 0.053 0.250
Tm 0.285 0.715 0.250
Tm 0.715 0.285 0.750
! Size of the total moment (μB/atom): 0.000
! ΔE_f (meV/atom): 121
! N(E_F) (states/eV/cell): 38.3
! Polymorph energy (0 for the lowest one) (kJ/mol of atoms): 0.0



! K3Nd3AsO8, relaxed, DFT PBE; values from VASP
&SYSTEM
  ibrav = 0, nat = 15, ntyp = 4
/
ATOMIC_SPECIES
K 39.10 K.upf
Nd 144.24 Nd.upf
As 74.92 As.upf
O 16.00 O.upf
CELL_PARAMETERS angstrom
3.511 2.027 6.336
-3.511 2.027 6.336
0.000 -4.054 6.336
ATOMIC_POSITIONS crystal
K 0.000 0.500 0.500
K 0.500 0.000 0.500
K 0.500 0.500 0.000
Nd 0.000 0.000 0.500
Nd 0.000 0.500 0.000
Nd 0.500 0.000 0.000
As 0.500 0.500 0.500
O 0.230 0.230 0.230
O 0.270 0.701 0.701
O 0.299 0.299 0.730
O 0.299 0.730 0.299
O 0.701 0.270 0.701
O 0.701 0.701 0.270
O 0.730 0.299 0.299
O 0.770 0.770 0.770
! Size of the total moment (μB/atom): 0.000
! N(E_F) (states/eV/cell): 1.7
! Formation energy (no corrections) (eV per atom): -2.27



! Mn2CdCo2, relaxed, DFT PBE; values from VASP
&SYSTEM
  ibrav = 0, nat = 10, ntyp = 3
/
ATOMIC_SPECIES
Mn 54.94 Mn.upf
Cd 112.41 Cd.upf
Co 58.93 Co.upf
CELL_PARAMETERS angstrom
6.954 0.000 0.000
0.000 6.954 0.000
0.000 0.000 2.773
ATOMIC_POSITIONS crystal
Mn 0.155 0.345 0.000
Mn 0.345 0.845 0.000
Mn 0.655 0.155 0.000
Mn 0.845 0.655 0.000
Cd 0.000 0.000 0.500
Cd 0.500 0.500 0.500
Co 0.135 0.635 0.500
Co 0.365 0.135 0.500
Co 0.635 0.865 0.500
Co 0.865 0.365 0.500
! Size of the total moment (μB/atom): 1.412
! ΔE_f (meV/atom): 244
! N(E_F) (states/eV/cell): 13.5
! Polymorph energy (0 for the lowest one) (kJ/mol of atoms): 0.0